1.
Nd5MgBi2: relaxed, PBE-GGA.

Cell: 5.7064 6.7452 15.4585 Å, 90.00 90.00 115.02°
Fractional positions:
Nd (0.9349, 0.8697, 0.8994)
Nd (0.9349, 0.8697, 0.6006)
Nd (0.3756, 0.7512, 0.4532)
Nd (0.3756, 0.7512, 0.0468)
Nd (0.5816, 0.1632, 0.2500)
Nd (0.4184, 0.8368, 0.7500)
Nd (0.6244, 0.2488, 0.5468)
Nd (0.6244, 0.2488, 0.9532)
Nd (0.0651, 0.1303, 0.1006)
Nd (0.0651, 0.1303, 0.3994)
Mg (0.7140, 0.4281, 0.7500)
Mg (0.2860, 0.5719, 0.2500)
Bi (0.7938, 0.5876, 0.3771)
Bi (0.7938, 0.5876, 0.1229)
Bi (0.2062, 0.4124, 0.6229)
Bi (0.2062, 0.4124, 0.8771)

Output
- magnetic moment (μB/atom) = 0.000
- DFT total energy (eV/atom) = -4.39

=====

2.
NdMgBiPb: relaxed, PBE-GGA.

Cell: 5.4914 5.4914 5.4914 Å, 60.00 60.00 60.00°
Fractional positions:
Pb (0.7500, 0.7500, 0.7500)
Mg (0.0000, 0.0000, 0.0000)
Nd (0.5000, 0.5000, 0.5000)
Bi (0.2500, 0.2500, 0.2500)

Output
- magnetic moment (μB/atom) = 0.000
- DFT total energy (eV/atom) = -3.77

=====

3.
NdMgSnBi: relaxed, PBE-GGA.

Cell: 5.4400 5.4400 5.4400 Å, 60.00 60.00 60.00°
Fractional positions:
Mg (0.5000, 0.5000, 0.5000)
Nd (0.0000, 0.0000, 0.0000)
Bi (0.7500, 0.7500, 0.7500)
Sn (0.2500, 0.2500, 0.2500)

Output
- magnetic moment (μB/atom) = 0.000
- DFT total energy (eV/atom) = -3.88

=====

4.
NdMgBiTe: relaxed, PBE-GGA.

Cell: 4.9864 4.9864 12.8403 Å, 78.80 78.80 60.00°
Fractional positions:
Nd (0.6068, 0.6068, 0.1797)
Nd (0.3932, 0.3932, 0.8203)
Mg (0.8056, 0.8056, 0.5833)
Mg (0.1944, 0.1944, 0.4167)
Bi (0.1148, 0.1148, 0.6555)
Bi (0.8852, 0.8852, 0.3445)
Te (0.6969, 0.6969, 0.9094)
Te (0.3031, 0.3031, 0.0906)

Output
- magnetic moment (μB/atom) = 0.000
- DFT total energy (eV/atom) = -4.13

=====

5.
NdMgTlBi: relaxed, PBE-GGA.

Cell: 5.4541 5.4541 5.4541 Å, 60.00 60.00 60.00°
Fractional positions:
Mg (0.7500, 0.7500, 0.7500)
Tl (0.0000, 0.0000, 0.0000)
Nd (0.2500, 0.2500, 0.2500)
Bi (0.5000, 0.5000, 0.5000)

Output
- magnetic moment (μB/atom) = 0.000
- DFT total energy (eV/atom) = -3.42

=====

6.
NdYMgBi: relaxed, PBE-GGA.

Cell: 5.4878 5.4878 5.4878 Å, 60.00 60.00 60.00°
Fractional positions:
Y (0.7500, 0.7500, 0.7500)
Mg (0.0000, 0.0000, 0.0000)
Nd (0.2500, 0.2500, 0.2500)
Bi (0.5000, 0.5000, 0.5000)

Output
- magnetic moment (μB/atom) = 0.000
- DFT total energy (eV/atom) = -4.52